MgC3I | PBE | optimized geometry

Structure (extended XYZ):
```
5
Lattice="4.277 0.000 0.000 0.000 4.277 0.000 0.000 0.000 4.277" Properties=species:S:1:pos:R:3 pbc="T T T"
I 2.139 2.139 2.139
Mg 0.000 0.000 0.000
C 2.139 0.000 0.000
C 0.000 0.000 2.139
C 0.000 2.139 0.000
```

Values from the calculation:
Polymorph energy (0 for the lowest one)   34 meV/atom
Electronic total energy   -15.41 eV per cell
Formation energy (no corrections)   1486 kJ/mol of formula units
Theoretical density   4.0 Mg/m³